A plane-wave DFT calculation with meta-GGA SCAN was carried out for Be2HgAs at its PBEsol-relaxed geometry. Values from VASP.

Energy of formation in kcal/mol of atoms: 10.96
Space-group type: No. 12

The structure in Quantum ESPRESSO input format:
```
&SYSTEM
  ibrav = 0, nat = 4, ntyp = 3
/
ATOMIC_SPECIES
Be 9.01 Be.upf
Hg 200.59 Hg.upf
As 74.92 As.upf
ATOMIC_POSITIONS crystal
Be 0.0000 0.0000 0.5000
Be 0.0000 0.5000 0.0000
Hg 0.5000 0.0000 0.0000
As 0.5000 0.5000 0.5000
CELL_PARAMETERS angstrom
3.0144 -0.0496 -0.0392
1.3569 4.5645 0.0033
1.3569 1.0616 4.4393
```